1.
A relaxed CeNdZnCd crystal. Source: the Alexandria database, functional PBE.

Cell lengths 5.325, 5.325, 5.325 Å; angles 60.00, 60.00, 60.00 degrees
Each line ends with the local moment (μB).
Sites, in units of the cell vectors:
1 Nd 0.500 0.500 0.500  0.20
2 Ce 0.000 0.000 0.000  0.97
3 Zn 0.750 0.750 0.750  0.02
4 Cd 0.250 0.250 0.250  0.02

Space group: No. 216

=====

2.
A relaxed In2OsW crystal. Source: the Alexandria database, functional PBE.

Cell lengths 2.941, 2.941, 9.329 Å; angles 90.00, 90.00, 116.17 degrees
Sites, in units of the cell vectors:
1 W 0.500 0.500 0.750
2 In 0.000 0.000 0.492
3 In 0.000 0.000 0.008
4 Os 0.500 0.500 0.250

Space group: No. 65

=====

Formation energy from the elements per entry: -0.1955; 0.7383 eV per atom